Record 1
# Tb6In2Ru

A relaxed structure of Tb6In2Ru (PBE, Alexandria).

Geometry as CIF:
```
data_Tb6In2Ru
_chemical_formula_sum 'Tb6 In2 Ru1'
_cell_length_a 3.8352
_cell_length_b 8.6886
_cell_length_c 8.6623
_cell_angle_alpha 120.10
_cell_angle_beta 90.00
_cell_angle_gamma 90.00
_symmetry_space_group_name_H-M 'P 1'
_symmetry_Int_Tables_number 1
loop_
_symmetry_equiv_pos_as_xyz
'x,y,z'
loop_
_atom_site_label
_atom_site_fract_x
_atom_site_fract_y
_atom_site_fract_z
_atom_site_occupancy
Tb1 0.5000 0.6073 0.0000 1
Tb2 0.5000 0.3889 0.3896 1
Tb3 0.5000 0.9993 0.6104 1
Tb4 0.0000 0.2443 0.0000 1
Tb5 0.0000 0.7585 0.7605 1
Tb6 0.0000 0.9980 0.2395 1
In1 0.0000 0.3320 0.6652 1
In2 0.0000 0.6667 0.3348 1
Ru1 0.5000 0.0050 0.0000 1
```

Record 2
# Tb5In2Ru2

A relaxed structure of Tb5In2Ru2 (PBE, Alexandria).

Geometry as CIF:
```
data_Tb5In2Ru2
_chemical_formula_sum 'Tb10 In4 Ru4'
_cell_length_a 7.6299
_cell_length_b 7.4685
_cell_length_c 9.0337
_cell_angle_alpha 114.42
_cell_angle_beta 90.00
_cell_angle_gamma 90.00
_symmetry_space_group_name_H-M 'P 1'
_symmetry_Int_Tables_number 1
loop_
_symmetry_equiv_pos_as_xyz
'x,y,z'
loop_
_atom_site_label
_atom_site_fract_x
_atom_site_fract_y
_atom_site_fract_z
_atom_site_occupancy
Tb1 0.0000 0.0000 0.0000 1
Tb2 0.5000 0.5000 0.0000 1
Tb3 0.8262 0.7917 0.2342 1
Tb4 0.1738 0.4425 0.2342 1
Tb5 0.3262 0.9425 0.2342 1
Tb6 0.6738 0.2917 0.2342 1
Tb7 0.1738 0.2083 0.7658 1
Tb8 0.8262 0.5575 0.7658 1
Tb9 0.6738 0.0575 0.7658 1
Tb10 0.3262 0.7083 0.7658 1
In1 0.0000 0.2217 0.4434 1
In2 0.5000 0.7217 0.4434 1
In3 0.0000 0.7783 0.5566 1
In4 0.5000 0.2783 0.5566 1
Ru1 0.6292 0.8761 0.0000 1
Ru2 0.3708 0.1239 0.0000 1
Ru3 0.1292 0.6239 0.0000 1
Ru4 0.8708 0.3761 0.0000 1
```

Record 3
# Tb4In3Ru

A relaxed structure of Tb4In3Ru (PBE, Alexandria).

Geometry as CIF:
```
data_Tb4In3Ru
_chemical_formula_sum 'Tb4 In3 Ru1'
_cell_length_a 3.5452
_cell_length_b 3.5452
_cell_length_c 15.9799
_cell_angle_alpha 90.00
_cell_angle_beta 90.00
_cell_angle_gamma 90.00
_symmetry_space_group_name_H-M 'P 1'
_symmetry_Int_Tables_number 1
loop_
_symmetry_equiv_pos_as_xyz
'x,y,z'
loop_
_atom_site_label
_atom_site_fract_x
_atom_site_fract_y
_atom_site_fract_z
_atom_site_occupancy
Ru1 0.5000 0.5000 0.0000 1
Tb1 0.0000 0.0000 0.8980 1
Tb2 0.0000 0.0000 0.1020 1
Tb3 0.0000 0.0000 0.3679 1
Tb4 0.0000 0.0000 0.6321 1
In1 0.5000 0.5000 0.2378 1
In2 0.5000 0.5000 0.5000 1
In3 0.5000 0.5000 0.7622 1
```

Record 4
# Tb5In2Ru

A relaxed structure of Tb5In2Ru (PBE, Alexandria).

Values from the calculation:
Excess energy over the best structure of this formula in the dataset (eV per atom): 0.0000

Geometry as CIF:
```
data_Tb5In2Ru
_chemical_formula_sum 'Tb10 In4 Ru2'
_cell_length_a 4.7878
_cell_length_b 7.4688
_cell_length_c 12.2744
_cell_angle_alpha 90.00
_cell_angle_beta 90.00
_cell_angle_gamma 90.00
_symmetry_space_group_name_H-M 'P 1'
_symmetry_Int_Tables_number 1
loop_
_symmetry_equiv_pos_as_xyz
'x,y,z'
loop_
_atom_site_label
_atom_site_fract_x
_atom_site_fract_y
_atom_site_fract_z
_atom_site_occupancy
Tb1 0.0000 0.0000 0.5000 1
Tb2 0.0000 0.5000 0.0000 1
Tb3 0.0000 0.8676 0.2057 1
Tb4 0.0000 0.1324 0.7943 1
Tb5 0.0000 0.6324 0.7057 1
Tb6 0.0000 0.3676 0.2943 1
Tb7 0.5000 0.6812 0.4244 1
Tb8 0.5000 0.3188 0.5756 1
Tb9 0.5000 0.8188 0.9244 1
Tb10 0.5000 0.1812 0.0756 1
In1 0.5000 0.5848 0.1653 1
In2 0.5000 0.4152 0.8347 1
In3 0.5000 0.9152 0.6653 1
In4 0.5000 0.0848 0.3347 1
Ru1 0.0000 0.5000 0.5000 1
Ru2 0.0000 0.0000 0.0000 1
```

Record 5
# Tb8In2Ru3

A relaxed structure of Tb8In2Ru3 (PBE, Alexandria).

Geometry as CIF:
```
data_Tb8In2Ru3
_chemical_formula_sum 'Tb8 In2 Ru3'
_cell_length_a 4.9817
_cell_length_b 9.8815
_cell_length_c 8.7332
_cell_angle_alpha 123.80
_cell_angle_beta 90.00
_cell_angle_gamma 90.00
_symmetry_space_group_name_H-M 'P 1'
_symmetry_Int_Tables_number 1
loop_
_symmetry_equiv_pos_as_xyz
'x,y,z'
loop_
_atom_site_label
_atom_site_fract_x
_atom_site_fract_y
_atom_site_fract_z
_atom_site_occupancy
Tb1 0.0000 0.6141 0.2236 1
Tb2 0.0000 0.3859 0.7764 1
Tb3 0.0000 0.1152 0.2258 1
Tb4 0.0000 0.8848 0.7742 1
Tb5 0.5000 0.6395 0.7811 1
Tb6 0.5000 0.1328 0.7737 1
Tb7 0.5000 0.8672 0.2263 1
Tb8 0.5000 0.3605 0.2189 1
In1 0.5000 0.2539 0.5043 1
In2 0.5000 0.7461 0.4957 1
Ru1 0.5000 0.0000 0.0000 1
Ru2 0.0000 0.2490 0.9980 1
Ru3 0.0000 0.7510 0.0020 1
```

Record 6
# TbInRu4

A relaxed structure of TbInRu4 (PBE, Alexandria).

Geometry as CIF:
```
data_TbInRu4
_chemical_formula_sum 'Tb1 In1 Ru4'
_cell_length_a 5.2788
_cell_length_b 5.2788
_cell_length_c 5.2788
_cell_angle_alpha 60.00
_cell_angle_beta 60.00
_cell_angle_gamma 60.00
_symmetry_space_group_name_H-M 'P 1'
_symmetry_Int_Tables_number 1
loop_
_symmetry_equiv_pos_as_xyz
'x,y,z'
loop_
_atom_site_label
_atom_site_fract_x
_atom_site_fract_y
_atom_site_fract_z
_atom_site_occupancy
Ru1 0.6256 0.6256 0.1232 1
Ru2 0.6256 0.1232 0.6256 1
Ru3 0.6256 0.6256 0.6256 1
Ru4 0.1232 0.6256 0.6256 1
Tb1 0.2500 0.2500 0.2500 1
In1 0.0000 0.0000 0.0000 1
```

Record 7
# Tb5In4Ru

A relaxed structure of Tb5In4Ru (PBE, Alexandria).

Geometry as CIF:
```
data_Tb5In4Ru
_chemical_formula_sum 'Tb5 In4 Ru1'
_cell_length_a 3.4613
_cell_length_b 3.4613
_cell_length_c 21.2883
_cell_angle_alpha 90.00
_cell_angle_beta 90.00
_cell_angle_gamma 90.00
_symmetry_space_group_name_H-M 'P 1'
_symmetry_Int_Tables_number 1
loop_
_symmetry_equiv_pos_as_xyz
'x,y,z'
loop_
_atom_site_label
_atom_site_fract_x
_atom_site_fract_y
_atom_site_fract_z
_atom_site_occupancy
Tb1 0.5000 0.5000 0.0779 1
Tb2 0.5000 0.5000 0.2932 1
Tb3 0.5000 0.5000 0.5000 1
Tb4 0.5000 0.5000 0.7068 1
Tb5 0.5000 0.5000 0.9221 1
In1 0.0000 0.0000 0.1890 1
In2 0.0000 0.0000 0.3966 1
In3 0.0000 0.0000 0.6034 1
In4 0.0000 0.0000 0.8110 1
Ru1 0.0000 0.0000 0.0000 1
```

Record 8
# Tb5In2Ru

A relaxed structure of Tb5In2Ru (PBE, Alexandria).

Values from the calculation:
Excess energy over the best structure of this formula in the dataset (eV per atom): 0.1490

Geometry as CIF:
```
data_Tb5In2Ru
_chemical_formula_sum 'Tb5 In2 Ru1'
_cell_length_a 7.0839
_cell_length_b 7.0839
_cell_length_c 6.6875
_cell_angle_alpha 122.00
_cell_angle_beta 122.00
_cell_angle_gamma 89.96
_symmetry_space_group_name_H-M 'P 1'
_symmetry_Int_Tables_number 1
loop_
_symmetry_equiv_pos_as_xyz
'x,y,z'
loop_
_atom_site_label
_atom_site_fract_x
_atom_site_fract_y
_atom_site_fract_z
_atom_site_occupancy
Tb1 0.7333 0.2432 0.9765 1
Tb2 0.2432 0.2432 0.9768 1
Tb3 0.7336 0.7336 0.9768 1
Tb4 0.2432 0.7333 0.9765 1
Tb5 0.7632 0.7632 0.5265 1
In1 0.2314 0.7314 0.4628 1
In2 0.7314 0.2314 0.4628 1
Ru1 0.0976 0.0976 0.1953 1
```

Record 9
# Tb4InRu

A relaxed structure of Tb4InRu (PBE, Alexandria).

Values from the calculation:
Excess energy over the best structure of this formula in the dataset (eV per atom): 0.0000

Geometry as CIF:
```
data_Tb4InRu
_chemical_formula_sum 'Tb16 In4 Ru4'
_cell_length_a 9.6691
_cell_length_b 9.6691
_cell_length_c 9.6691
_cell_angle_alpha 60.00
_cell_angle_beta 60.00
_cell_angle_gamma 60.00
_symmetry_space_group_name_H-M 'P 1'
_symmetry_Int_Tables_number 1
loop_
_symmetry_equiv_pos_as_xyz
'x,y,z'
loop_
_atom_site_label
_atom_site_fract_x
_atom_site_fract_y
_atom_site_fract_z
_atom_site_occupancy
Tb1 0.4026 0.4026 0.4026 1
Tb2 0.7923 0.4026 0.4026 1
Tb3 0.4026 0.7923 0.4026 1
Tb4 0.4026 0.4026 0.7923 1
Tb5 0.5584 0.5584 0.9416 1
Tb6 0.9416 0.9416 0.5584 1
Tb7 0.5584 0.9416 0.5584 1
Tb8 0.9416 0.5584 0.9416 1
Tb9 0.9416 0.5584 0.5584 1
Tb10 0.5584 0.9416 0.9416 1
Tb11 0.1905 0.1905 0.8095 1
Tb12 0.8095 0.8095 0.1905 1
Tb13 0.1905 0.8095 0.1905 1
Tb14 0.8095 0.1905 0.8095 1
Tb15 0.8095 0.1905 0.1905 1
Tb16 0.1905 0.8095 0.8095 1
In1 0.1679 0.1679 0.1679 1
In2 0.4962 0.1679 0.1679 1
In3 0.1679 0.4962 0.1679 1
In4 0.1679 0.1679 0.4962 1
Ru1 0.6113 0.6113 0.6113 1
Ru2 0.1662 0.6113 0.6113 1
Ru3 0.6113 0.1662 0.6113 1
Ru4 0.6113 0.6113 0.1662 1
```

Record 10
# Tb4InRu

A relaxed structure of Tb4InRu (PBE, Alexandria).

Values from the calculation:
Excess energy over the best structure of this formula in the dataset (eV per atom): 0.0382

Geometry as CIF:
```
data_Tb4InRu
_chemical_formula_sum 'Tb8 In2 Ru2'
_cell_length_a 6.1748
_cell_length_b 9.0675
_cell_length_c 7.8642
_cell_angle_alpha 115.12
_cell_angle_beta 99.76
_cell_angle_gamma 112.77
_symmetry_space_group_name_H-M 'P 1'
_symmetry_Int_Tables_number 1
loop_
_symmetry_equiv_pos_as_xyz
'x,y,z'
loop_
_atom_site_label
_atom_site_fract_x
_atom_site_fract_y
_atom_site_fract_z
_atom_site_occupancy
Tb1 0.0941 0.2034 0.8455 1
Tb2 0.7719 0.7238 0.6644 1
Tb3 0.2514 0.6421 0.8455 1
Tb4 0.3925 0.9405 0.6644 1
Tb5 0.6075 0.0595 0.3356 1
Tb6 0.7486 0.3579 0.1545 1
Tb7 0.2281 0.2762 0.3356 1
Tb8 0.9059 0.7966 0.1545 1
In1 0.3742 0.6242 0.2485 1
In2 0.6258 0.3758 0.7515 1
Ru1 0.2496 0.9996 0.9991 1
Ru2 0.7504 0.0004 0.0009 1
```

Record 11
# Tb5InRu4

A relaxed structure of Tb5InRu4 (PBE, Alexandria).

Geometry as CIF:
```
data_Tb5InRu4
_chemical_formula_sum 'Tb5 In1 Ru4'
_cell_length_a 3.4367
_cell_length_b 3.4367
_cell_length_c 18.1278
_cell_angle_alpha 90.00
_cell_angle_beta 90.00
_cell_angle_gamma 90.00
_symmetry_space_group_name_H-M 'P 1'
_symmetry_Int_Tables_number 1
loop_
_symmetry_equiv_pos_as_xyz
'x,y,z'
loop_
_atom_site_label
_atom_site_fract_x
_atom_site_fract_y
_atom_site_fract_z
_atom_site_occupancy
Tb1 0.5000 0.5000 0.1275 1
Tb2 0.5000 0.5000 0.3137 1
Tb3 0.5000 0.5000 0.5000 1
Tb4 0.5000 0.5000 0.6863 1
Tb5 0.5000 0.5000 0.8725 1
In1 0.0000 0.0000 0.0000 1
Ru1 0.0000 0.0000 0.2148 1
Ru2 0.0000 0.0000 0.4056 1
Ru3 0.0000 0.0000 0.5944 1
Ru4 0.0000 0.0000 0.7852 1
```

Record 12
# Tb8In2Ru

A relaxed structure of Tb8In2Ru (PBE, Alexandria).

Geometry as CIF:
```
data_Tb8In2Ru
_chemical_formula_sum 'Tb8 In2 Ru1'
_cell_length_a 5.5194
_cell_length_b 6.9841
_cell_length_c 9.0979
_cell_angle_alpha 111.59
_cell_angle_beta 107.66
_cell_angle_gamma 90.00
_symmetry_space_group_name_H-M 'P 1'
_symmetry_Int_Tables_number 1
loop_
_symmetry_equiv_pos_as_xyz
'x,y,z'
loop_
_atom_site_label
_atom_site_fract_x
_atom_site_fract_y
_atom_site_fract_z
_atom_site_occupancy
Tb1 0.3876 0.6018 0.7752 1
Tb2 0.6357 0.8963 0.2714 1
Tb3 0.8067 0.7732 0.6134 1
Tb4 0.9938 0.2366 0.9876 1
Tb5 0.1933 0.2268 0.3866 1
Tb6 0.3643 0.1037 0.7286 1
Tb7 0.6124 0.3982 0.2248 1
Tb8 0.0062 0.7634 0.0124 1
In1 0.8154 0.3112 0.6307 1
In2 0.1846 0.6888 0.3693 1
Ru1 0.5000 0.0000 0.0000 1
```

Number 1: calculated total energy -5.08 eV per atom, E_form -304.1 kJ/mol of formula units. Number 2: calculated total energy -5.61 eV per atom, E_form -317.8 kJ/mol of formula units. Number 3: calculated total energy -4.97 eV per atom, E_form -358.2 kJ/mol of formula units. Number 4: calculated total energy -5.12 eV per atom, E_form -292.3 kJ/mol of formula units. Number 5: calculated total energy -5.67 eV per atom, E_form -321.3 kJ/mol of formula units. Number 6: calculated total energy -7.46 eV per atom, E_form -27.4 kJ/mol of formula units. Number 7: calculated total energy -4.81 eV per atom, E_form -455.6 kJ/mol of formula units. Number 8: calculated total energy -4.97 eV per atom, E_form -177.4 kJ/mol of formula units. Number 9: calculated total energy -5.48 eV per atom, E_form -228.9 kJ/mol of formula units. Number 10: calculated total energy -5.45 eV per atom, E_form -206.8 kJ/mol of formula units. Number 11: calculated total energy -6.66 eV per atom, E_form -347.6 kJ/mol of formula units. Number 12: calculated total energy -4.98 eV per atom, E_form -285.4 kJ/mol of formula units.